[1]
Entry from the Alexandria database: crystalline Li2AcAs2O7 at its relaxed geometry (GGA-PBE).

The structure in extended XYZ format:
```
12
Lattice="2.724 1.573 8.230 -2.724 1.573 8.230 0.000 -3.146 8.230" Properties=species:S:1:pos:R:3 pbc="T T T"
Li 0.000 0.000 6.148
Li 0.000 0.000 18.543
Ac 0.000 0.000 12.345
As 0.000 0.000 1.876
As 0.000 0.000 22.814
O 0.000 0.000 0.000
O -0.892 -1.790 10.773
O -1.104 -1.667 13.918
O -1.104 1.667 10.773
O -0.892 1.790 13.918
O 1.996 0.123 10.773
O 1.996 -0.123 13.918
```

raw formation energy = -1.907 eV per atom
uncorrected energy = -6.2355 eV per atom

[2]
Entry from the Alexandria database: crystalline Li3AcAs4O12 at its relaxed geometry (GGA-PBE).

The structure in extended XYZ format:
```
20
Lattice="-3.756 3.756 3.756 3.756 -3.756 3.756 3.756 3.756 -3.756" Properties=species:S:1:pos:R:3 pbc="T T T"
Li 3.756 0.000 0.000
Li 0.000 3.756 0.000
Li 0.000 0.000 3.756
Ac 0.000 0.000 0.000
As 1.878 1.878 -1.878
As 1.878 -1.878 1.878
As -1.878 1.878 1.878
As 1.878 1.878 1.878
O 3.756 -1.540 2.292
O 2.216 1.464 0.000
O 5.297 1.464 0.000
O 2.292 3.756 -1.540
O 1.464 0.000 2.216
O 0.000 2.216 1.464
O 3.756 1.540 2.292
O 2.292 3.756 1.540
O 1.464 0.000 5.297
O -1.540 2.292 3.756
O 1.540 2.292 3.756
O 0.000 5.297 1.464
```

raw formation energy = -1.552 eV per atom
uncorrected energy = -5.9493 eV per atom

[3]
Entry from the Alexandria database: crystalline Li2Ac3AsO9 at its relaxed geometry (GGA-PBE).

The structure in extended XYZ format:
```
15
Lattice="5.532 0.000 0.000 -2.766 4.790 0.000 0.000 0.000 6.939" Properties=species:S:1:pos:R:3 pbc="T T T"
Li 0.000 3.194 1.290
Li 2.766 1.597 5.649
Ac 0.000 0.000 0.000
Ac 0.000 3.194 4.745
Ac 2.766 1.597 2.194
As 0.000 0.000 3.469
O -1.383 2.395 0.000
O 0.000 1.508 2.396
O -1.460 4.036 2.396
O 1.306 0.754 4.542
O 2.766 0.000 0.000
O 1.383 2.395 0.000
O 1.460 4.036 2.396
O 4.225 0.754 4.542
O 2.766 3.282 4.542
```

raw formation energy = -2.393 eV per atom
uncorrected energy = -6.7543 eV per atom

[4]
Entry from the Alexandria database: crystalline Li3Ac3AsO8 at its relaxed geometry (GGA-PBE).

The structure in extended XYZ format:
```
15
Lattice="5.329 -3.652 0.000 5.329 3.652 0.000 -2.841 0.000 5.809" Properties=species:S:1:pos:R:3 pbc="T T T"
Li 0.000 0.000 0.000
Li 1.244 1.826 2.905
Li 1.244 -1.826 2.905
Ac 2.664 1.826 0.000
Ac 2.664 -1.826 0.000
Ac 3.909 0.000 2.905
As -1.420 0.000 2.905
O 3.212 2.165 4.135
O 0.289 0.000 4.037
O 4.605 2.165 1.674
O 2.000 0.000 1.429
O 5.817 0.000 4.380
O 3.212 -2.165 4.135
O 7.528 0.000 1.772
O 4.605 -2.165 1.674
```

raw formation energy = -2.220 eV per atom
uncorrected energy = -6.3786 eV per atom

[5]
Entry from the Alexandria database: crystalline LiAc2AsO6 at its relaxed geometry (GGA-PBE).

The structure in extended XYZ format:
```
10
Lattice="5.534 0.000 0.000 0.000 5.534 0.000 0.000 0.000 4.127" Properties=species:S:1:pos:R:3 pbc="T T T"
Li 0.000 0.000 0.000
Ac 0.000 2.767 2.002
Ac 2.767 0.000 2.002
As 2.767 2.767 4.034
O 0.000 0.000 2.093
O 1.497 1.497 0.097
O 1.497 4.037 0.097
O 2.767 2.767 2.213
O 4.037 1.497 0.097
O 4.037 4.037 0.097
```

raw formation energy = -2.487 eV per atom
uncorrected energy = -6.9399 eV per atom

[6]
Entry from the Alexandria database: crystalline LiAcAsPd at its relaxed geometry (GGA-PBE).

The structure in extended XYZ format:
```
4
Lattice="0.000 3.488 3.488 3.488 0.000 3.488 3.488 3.488 0.000" Properties=species:S:1:pos:R:3 pbc="T T T"
Li 0.000 0.000 0.000
Ac 5.233 5.233 5.233
As 1.744 1.744 1.744
Pd 3.488 3.488 3.488
```

uncorrected energy = -4.5486 eV per atom

[7]
Entry from the Alexandria database: crystalline LiAc2As3Pd4 at its relaxed geometry (GGA-PBE).

The structure in extended XYZ format:
```
10
Lattice="4.441 0.000 0.000 0.000 4.441 0.000 0.000 0.000 10.336" Properties=species:S:1:pos:R:3 pbc="T T T"
Li 0.000 0.000 0.000
Ac 0.000 2.221 7.680
Ac 2.221 0.000 2.656
As 0.000 2.221 3.771
As 2.221 0.000 6.565
As 2.221 2.221 0.000
Pd 0.000 0.000 5.168
Pd 0.000 2.221 1.246
Pd 2.221 0.000 9.090
Pd 2.221 2.221 5.168
```

uncorrected energy = -5.4094 eV per atom

[8]
Entry from the Alexandria database: crystalline LiAcAsPd6 at its relaxed geometry (GGA-PBE).

The structure in extended XYZ format:
```
18
Lattice="-3.251 4.792 5.739 3.251 -4.792 5.739 3.251 4.792 -5.739" Properties=species:S:1:pos:R:3 pbc="T T T"
Li -1.626 2.396 2.870
Li 1.626 2.396 2.870
Ac 3.251 2.396 -1.882
Ac 0.000 2.396 7.622
As 0.000 0.000 0.000
As 0.000 4.792 0.000
Pd 1.828 0.135 1.517
Pd 4.675 0.135 1.517
Pd 3.251 -2.396 5.033
Pd 3.251 2.396 0.923
Pd 1.828 4.927 -1.517
Pd 1.424 0.135 4.222
Pd 1.828 4.657 1.517
Pd 1.424 -0.135 7.256
Pd 0.000 2.396 4.817
Pd 0.000 7.188 0.707
Pd -1.424 4.657 4.222
Pd 1.424 4.657 4.222
```

uncorrected energy = -4.9697 eV per atom

[9]
Entry from the Alexandria database: crystalline LiAcAs2Pd5 at its relaxed geometry (GGA-PBE).

The structure in extended XYZ format:
```
9
Lattice="4.341 0.000 0.000 0.000 4.341 0.000 0.000 0.000 9.194" Properties=species:S:1:pos:R:3 pbc="T T T"
Li 0.000 0.000 0.000
Ac 0.000 0.000 4.597
As 2.171 2.171 1.215
As 2.171 2.171 7.979
Pd 0.000 2.171 2.401
Pd 0.000 2.171 6.793
Pd 2.171 0.000 2.401
Pd 2.171 0.000 6.793
Pd 2.171 2.171 4.597
```

uncorrected energy = -5.1661 eV per atom

[10]
Entry from the Alexandria database: crystalline LiAcPmAs at its relaxed geometry (GGA-PBE).

The structure in extended XYZ format:
```
4
Lattice="0.000 3.776 3.776 3.776 0.000 3.776 3.776 3.776 0.000" Properties=species:S:1:pos:R:3 pbc="T T T"
Li 0.000 0.000 0.000
Ac 5.663 5.663 5.663
Pm 1.888 1.888 1.888
As 3.776 3.776 3.776
```

uncorrected energy = -4.2867 eV per atom

[11]
Entry from the Alexandria database: crystalline LiAcAsPt at its relaxed geometry (GGA-PBE).

The structure in extended XYZ format:
```
4
Lattice="0.000 3.515 3.515 3.515 0.000 3.515 3.515 3.515 0.000" Properties=species:S:1:pos:R:3 pbc="T T T"
Li 0.000 0.000 0.000
Ac 1.757 1.757 1.757
As 5.272 5.272 5.272
Pt 3.515 3.515 3.515
```

uncorrected energy = -4.7766 eV per atom

[12]
Entry from the Alexandria database: crystalline LiAcAs2Pt5 at its relaxed geometry (GGA-PBE).

The structure in extended XYZ format:
```
9
Lattice="4.245 0.000 0.000 0.000 4.245 0.000 0.000 0.000 10.144" Properties=species:S:1:pos:R:3 pbc="T T T"
Li 0.000 0.000 0.000
Ac 0.000 0.000 5.072
As 2.122 2.122 2.656
As 2.122 2.122 7.488
Pt 0.000 2.122 1.460
Pt 0.000 2.122 8.684
Pt 2.122 0.000 1.460
Pt 2.122 0.000 8.684
Pt 2.122 2.122 5.072
```

uncorrected energy = -5.5818 eV per atom

> Which value of uncorrected energy does entry 6 give?

-4.5486 eV per atom

> uncorrected energy of number 1 (Li2AcAs2O7)?

-6.2355 eV per atom